Compound: Mg2TlOs
Source: Alexandria
Functional: GGA-PBE
Structure: optimized geometry

Output
For the total magnetization, the calculation gives 0.01 Bohr magnetons per cell. The value obtained for the theoretical density is 9898 kg/m3. The energy above the most stable polymorph in this dataset is 89 meV per atom. Its space group is No. 25. Its density of states at the Fermi level is 3.34 states/eV/cell. The formation energy is 1.27 eV per formula unit.

The structure in POSCAR format:
```
Mg2TlOs
1.0
2.900 0.000 0.000
0.000 4.875 0.000
0.000 0.000 5.259
Mg Tl Os
2 1 1
Direct
0.000 0.000 0.000
0.000 0.500 0.331
0.500 0.000 0.524
0.500 0.500 0.852
```

***

Compound: MgTlOs3
Source: Alexandria
Functional: GGA-PBE
Structure: optimized geometry

Output
For the total magnetization, the calculation gives 2.64 Bohr magnetons per cell. The value obtained for the theoretical density is 14003 kg/m3. The energy above the most stable polymorph in this dataset is 0 meV per atom. Its space group is No. 221. Its density of states at the Fermi level is 4.80 states/eV/cell. The formation energy is 11.34 eV per formula unit.

The structure in POSCAR format:
```
MgTlOs3
1.0
4.560 0.000 0.000
0.000 4.560 0.000
0.000 0.000 4.560
Mg Tl Os
1 1 3
Direct
0.000 0.000 0.000
0.500 0.500 0.500
0.000 0.000 0.500
0.000 0.500 0.000
0.500 0.000 0.000
```

***

| no. | E_tot (eV per atom) |
| --- | --- |
| 1 | -3.880 |
| 2 | -5.263 |